1.
! Tm2ZnGa3Pd4, optimized geometry, DFT PBE-GGA; values from VASP
! space group = P-4m2, No. 115
! DFT formation energy = -735 meV per atom
&SYSTEM
  ibrav = 0, nat = 10, ntyp = 4
/
ATOMIC_SPECIES
Tm 168.93 Tm.upf
Zn 65.41 Zn.upf
Ga 69.72 Ga.upf
Pd 106.42 Pd.upf
CELL_PARAMETERS angstrom
3.9862 0.0000 0.0000
0.0000 3.9862 0.0000
0.0000 0.0000 11.5028
ATOMIC_POSITIONS crystal
Tm 0.0000 0.5000 0.2423
Tm 0.5000 0.0000 0.7577
Zn 0.5000 0.5000 0.0000
Ga 0.0000 0.0000 0.0000
Ga 0.0000 0.5000 0.6350
Ga 0.5000 0.0000 0.3650
Pd 0.0000 0.0000 0.5000
Pd 0.0000 0.5000 0.8507
Pd 0.5000 0.0000 0.1493
Pd 0.5000 0.5000 0.5000

=====

2.
! AcMg2SnPb, optimized geometry, DFT PBE-GGA; values from VASP
! space group = Cmcm, No. 63
! DFT formation energy = -302 meV per atom
&SYSTEM
  ibrav = 0, nat = 10, ntyp = 4
/
ATOMIC_SPECIES
Ac 227.00 Ac.upf
Mg 24.30 Mg.upf
Sn 118.71 Sn.upf
Pb 207.20 Pb.upf
CELL_PARAMETERS angstrom
2.7099 -7.7041 0.0000
2.7099 7.7041 0.0000
0.0000 0.0000 6.9592
ATOMIC_POSITIONS crystal
Ac 0.0861 0.9139 0.7500
Ac 0.9139 0.0861 0.2500
Mg 0.3064 0.6936 0.5285
Mg 0.3064 0.6936 0.9715
Mg 0.6936 0.3064 0.0285
Mg 0.6936 0.3064 0.4715
Sn 0.1592 0.8408 0.2500
Sn 0.8408 0.1592 0.7500
Pb 0.5000 0.5000 0.0000
Pb 0.5000 0.5000 0.5000